Entry 1:
{"formula": "NiW2", "functional": "PBE-GGA", "state": "optimized geometry", "lattice_angstrom": [[5.108, 0.000, 0.000], [-2.554, 4.423, 0.000], [0.000, 0.000, 16.184]], "species": ["Ni", "Ni", "Ni", "Ni", "Ni", "Ni", "Ni", "Ni", "W", "W", "W", "W", "W", "W", "W", "W", "W", "W", "W", "W", "W", "W", "W", "W"], "fractional_positions": [[0.333, 0.667, 0.127], [0.333, 0.667, 0.373], [0.333, 0.667, 0.664], [0.333, 0.667, 0.836], [0.667, 0.333, 0.164], [0.667, 0.333, 0.336], [0.667, 0.333, 0.627], [0.667, 0.333, 0.873], [0.000, 0.000, 0.095], [0.000, 0.000, 0.405], [0.000, 0.000, 0.595], [0.000, 0.000, 0.905], [0.000, 0.500, 0.000], [0.000, 0.500, 0.500], [0.164, 0.327, 0.250], [0.164, 0.836, 0.250], [0.327, 0.164, 0.750], [0.500, 0.000, 0.000], [0.500, 0.000, 0.500], [0.500, 0.500, 0.000], [0.500, 0.500, 0.500], [0.673, 0.836, 0.250], [0.836, 0.164, 0.750], [0.836, 0.673, 0.750]], "de_polymorph_kj_per_mol_atoms": 38.0, "total_magnetization_mub_per_atom": 0.002, "e_tot_ev_per_cell": -241.0, "e_form_ev_per_atom": 0.455, "sg": "P6_3/mmc, No. 194"}



Entry 2:
{"formula": "Ni3W2", "functional": "PBE-GGA", "state": "optimized geometry", "lattice_angstrom": [[9.080, 0.000, 0.000], [0.000, 9.080, 0.000], [0.000, 0.000, 4.717]], "species": ["Ni", "Ni", "Ni", "Ni", "Ni", "Ni", "Ni", "Ni", "Ni", "Ni", "Ni", "Ni", "Ni", "Ni", "Ni", "Ni", "Ni", "Ni", "W", "W", "W", "W", "W", "W", "W", "W", "W", "W", "W", "W"], "fractional_positions": [[0.000, 0.000, 0.000], [0.063, 0.256, 0.000], [0.183, 0.817, 0.250], [0.183, 0.817, 0.750], [0.244, 0.563, 0.500], [0.256, 0.063, 0.000], [0.317, 0.317, 0.250], [0.317, 0.317, 0.750], [0.437, 0.756, 0.500], [0.500, 0.500, 0.500], [0.563, 0.244, 0.500], [0.683, 0.683, 0.250], [0.683, 0.683, 0.750], [0.744, 0.937, 0.000], [0.756, 0.437, 0.500], [0.817, 0.183, 0.250], [0.817, 0.183, 0.750], [0.937, 0.744, 0.000], [0.034, 0.367, 0.500], [0.099, 0.099, 0.500], [0.133, 0.534, 0.000], [0.367, 0.034, 0.500], [0.401, 0.599, 0.000], [0.466, 0.867, 0.000], [0.534, 0.133, 0.000], [0.599, 0.401, 0.000], [0.633, 0.966, 0.500], [0.867, 0.466, 0.000], [0.901, 0.901, 0.500], [0.966, 0.633, 0.500]], "de_polymorph_kj_per_mol_atoms": 3.6, "total_magnetization_mub_per_atom": 0.000, "e_tot_ev_per_cell": -252.4, "e_form_ev_per_atom": 0.112, "sg": "P4_2/mnm, No. 136"}



Entry 3:
{"formula": "NiW5", "functional": "PBE-GGA", "state": "optimized geometry", "lattice_angstrom": [[2.582, -4.438, 0.000], [2.582, 4.438, 0.000], [0.000, 0.000, 8.178]], "species": ["Ni", "Ni", "W", "W", "W", "W", "W", "W", "W", "W", "W", "W"], "fractional_positions": [[0.169, 0.831, 0.750], [0.831, 0.169, 0.250], [0.000, 0.000, 0.000], [0.000, 0.000, 0.500], [0.165, 0.348, 0.750], [0.336, 0.664, 0.064], [0.336, 0.664, 0.436], [0.348, 0.165, 0.250], [0.652, 0.835, 0.750], [0.664, 0.336, 0.564], [0.664, 0.336, 0.936], [0.835, 0.652, 0.250]], "de_polymorph_kj_per_mol_atoms": 0.0, "total_magnetization_mub_per_atom": 0.000, "e_tot_ev_per_cell": -137.1, "e_form_ev_per_atom": 0.302, "sg": "Cmcm, No. 63"}